# 1
# Mg7Tl2In2 | Alexandria | GGA-PBE | relaxed
data_Mg7Tl2In2
_cell_length_a 6.598
_cell_length_b 10.579
_cell_length_c 8.145
_cell_angle_alpha 90.00
_cell_angle_beta 90.00
_cell_angle_gamma 90.00
_symmetry_space_group_name_H-M 'C m m m'
_symmetry_Int_Tables_number 65
_symmetry_space_group_name_Hall '-C 2 2'
loop_
_atom_site_label
_atom_site_fract_x
_atom_site_fract_y
_atom_site_fract_z
Mg1 0.000 0.000 0.000
Mg2 0.000 0.500 0.199
Mg3 0.250 0.250 0.310
Tl1 0.235 0.000 0.500
In1 0.000 0.271 0.000
# density of states at the Fermi level = 4.45 states/eV/f.u.
# relative energy among the computed polymorphs = 62 meV/atom

# 2
# MgTlIn | Alexandria | GGA-PBE | relaxed
data_MgTlIn
_cell_length_a 3.601
_cell_length_b 5.478
_cell_length_c 16.266
_cell_angle_alpha 90.00
_cell_angle_beta 90.00
_cell_angle_gamma 90.00
_symmetry_space_group_name_H-M 'F m m 2'
_symmetry_Int_Tables_number 42
_symmetry_space_group_name_Hall 'F 2 -2'
loop_
_atom_site_label
_atom_site_fract_x
_atom_site_fract_y
_atom_site_fract_z
Mg1 0.000 0.000 0.000
Tl1 0.000 0.000 0.664
In1 0.000 0.000 0.341
# density of states at the Fermi level = 1.48 states/eV/f.u.

# 3
# Mg7Tl2In2 | Alexandria | GGA-PBE | relaxed
data_Mg7Tl2In2
_cell_length_a 7.310
_cell_length_b 8.980
_cell_length_c 8.642
_cell_angle_alpha 90.00
_cell_angle_beta 106.37
_cell_angle_gamma 90.00
_symmetry_space_group_name_H-M 'C 1 2/m 1'
_symmetry_Int_Tables_number 12
loop_
_symmetry_equiv_pos_as_xyz
'x,y,z'
'-x,-y,-z'
'-x,y,-z'
'x,-y,z'
'x+1/2,y+1/2,z'
'-x+1/2,-y+1/2,-z'
'-x+1/2,y+1/2,-z'
'x+1/2,-y+1/2,z'
loop_
_atom_site_label
_atom_site_fract_x
_atom_site_fract_y
_atom_site_fract_z
Mg1 0.000 0.000 0.000
Mg2 0.130 0.000 0.380
Mg3 0.239 0.310 0.177
Tl1 0.000 0.301 0.500
In1 0.096 0.500 0.844
# density of states at the Fermi level = 4.35 states/eV/f.u.
# relative energy among the computed polymorphs = 0 meV/atom

| no. | final energy (eV/atom) |
| --- | --- |
| 1 | -1.8918 |
| 2 | -2.1948 |
| 3 | -1.9534 |